Density functional theory data (PBE) for DySiBi after structural relaxation.

Cell lengths 8.508, 8.508, 4.075 Å; angles 90.00, 90.00, 149.38 degrees
Positions (direct):
Dy 0.092 0.908 0.750
Dy 0.908 0.092 0.250
Si 0.456 0.544 0.750
Si 0.544 0.456 0.250
Bi 0.254 0.746 0.250
Bi 0.746 0.254 0.750

Properties
The value obtained for the uncorrected formation energy is -0.4799 eV/atom. The density of states at the Fermi level comes out at 2.205 states/eV per cell. For the density, the calculation gives 8.8 g/cm³. The size of the total moment is 0.0 μB/f.u. The space-group type is No. 63.